Density functional theory data (PBE) for crystalline MgOs3 at its relaxed geometry.

Results
- Space-group type: No. 47
- E: -8.509 eV per atom

Lattice parameters (Å, degrees): 2.7636 3.8759 5.5260 90.00 90.00 90.00
With the nearest neighbours (Å) after each atom.
Positions (direct):
Os1 0.5000 0.5000 0.7500  10 Os 2.73-2.76, 2 Mg 2.76
Os2 0.0000 0.0000 0.9914  8 Os 2.67-2.86, 4 Mg 2.78
Mg1 0.5000 0.5000 0.2500  10 Os 2.76-2.78, 2 Mg 2.76
Os3 0.0000 0.0000 0.5086  8 Os 2.67-2.86, 4 Mg 2.78

=====

Density functional theory data (PBE) for crystalline CrSbIrPt2 at its relaxed geometry.

Results
- Space-group type: No. 123
- E: -6.016 eV per atom
- Raw formation energy: 4.6 eV per formula unit

Lattice parameters (Å, degrees): 4.9594 4.4941 4.9594 90.00 90.00 90.00
With the nearest neighbours (Å) after each atom.
Positions (direct):
Ir1 0.0000 0.0000 0.0000  2 Cr 2.25, 4 Pt 2.48
Pt1 0.0000 0.0000 0.5000  2 Ir 2.48
Sb1 0.5000 0.5000 0.5000  8 Pt 3.35, 4 Cr 3.51
Pt2 0.5000 0.0000 0.0000  2 Ir 2.48
Cr1 0.0000 0.5000 0.0000  2 Ir 2.25

=====

Density functional theory data (PBE) for crystalline Tb5PrTm2Th at its relaxed geometry.

Results
- Space-group type: No. 36
- E: -4.755 eV per atom

Lattice parameters (Å, degrees): 5.7380 11.0447 9.7248 90.00 90.00 105.06
With the nearest neighbours (Å) after each atom.
Positions (direct):
Tb1 0.6952 0.3904 0.2157  2 Th 3.42, 5 Tb 3.45-3.80, 3 Tm 3.53-3.66, 1 Pr 3.56
Tb2 0.3048 0.6096 0.7157  2 Th 3.42, 5 Tb 3.45-3.80, 3 Tm 3.53-3.66, 1 Pr 3.56
Tb3 0.4707 0.9414 0.7431  2 Pr 3.18-3.42, 3 Tb 3.30-3.55, 2 Tm 3.46
Tm1 0.8877 0.7754 0.8241  8 Tb 3.27-3.54, 1 Th 3.35
Tm2 0.1123 0.2246 0.3241  8 Tb 3.27-3.54, 1 Th 3.35
Tm3 0.8666 0.7331 0.2069  1 Th 3.32, 4 Tb 3.36-3.66, 2 Pr 3.64
Tb4 0.2673 0.5347 0.3339  1 Pr 3.05, 1 Tm 3.31
Th1 0.1901 0.3803 0.0247  2 Tm 3.32-3.35, 5 Tb 3.42-3.54, 2 Pr 3.64
Th2 0.8099 0.6197 0.5247  2 Tm 3.32-3.35, 5 Tb 3.42-3.54, 2 Pr 3.64
Tm4 0.1334 0.2669 0.7069  1 Th 3.32, 4 Tb 3.36-3.66, 2 Pr 3.64
Pr1 0.5956 0.1913 0.9223  2 Tb 3.05-3.18
Tb5 0.3929 0.7858 0.0370  3 Tb 3.30-3.65, 4 Tm 3.36-3.54
Pr2 0.4044 0.8087 0.4223  2 Tb 3.05-3.18
Tb6 0.6071 0.2142 0.5370  3 Tb 3.30-3.65, 4 Tm 3.36-3.54
Tb7 0.7327 0.4653 0.8339  1 Pr 3.05, 1 Tm 3.31
Tb8 0.0132 0.0264 0.0163  2 Tm 3.27-3.64, 2 Pr 3.49, 2 Tb 3.63
Tb9 0.9868 0.9736 0.5163  2 Tm 3.27-3.64, 2 Pr 3.49, 2 Tb 3.63
Tb10 0.5293 0.0586 0.2431  2 Pr 3.18-3.42, 3 Tb 3.30-3.55, 2 Tm 3.46